The following is a GGA-PBE calculation of an optimized crystal structure of KInPOs, from Alexandria.

As for the space-group type: P4/nmm. The calculation puts the energy relative to the elements at -22.3 kJ/mol of atoms.

Cell: 4.0814 4.0814 12.8525 Å, 90.00 90.00 90.00°
Fractional positions:
K 0.2500 0.2500 0.2332
K 0.7500 0.7500 0.7668
In 0.2500 0.7500 0.5000
In 0.7500 0.2500 0.5000
P 0.2500 0.2500 0.9079
P 0.7500 0.7500 0.0921
Os 0.2500 0.7500 0.0000
Os 0.7500 0.2500 0.0000